Here is an optimized crystal structure of Zr3Be3Co2 from Alexandria via LeMat-Bulk. Energies are from PBE-GGA.

Computed properties:
Energy of formation ... -0.24 eV/atom
Crystal system ... orthorhombic
Total moment ... 0.0 μB per formula unit

Cell: 6.4646 13.3540 5.3341 Å, 90.00 90.00 90.00°
Atoms (fractional coordinates):
Zr 0.0205 0.1064 0.1224
Zr 0.0205 0.3936 0.1224
Zr 0.1502 0.2500 0.6295
Zr 0.3498 0.7500 0.1295
Zr 0.4795 0.6064 0.6224
Zr 0.4795 0.8936 0.6224
Zr 0.5205 0.1064 0.3776
Zr 0.5205 0.3936 0.3776
Zr 0.6502 0.2500 0.8705
Zr 0.8498 0.7500 0.3705
Zr 0.9795 0.6064 0.8776
Zr 0.9795 0.8936 0.8776
Be 0.1530 0.0349 0.5812
Be 0.1530 0.4651 0.5812
Be 0.1990 0.7500 0.6143
Be 0.3010 0.2500 0.1143
Be 0.3470 0.5349 0.0812
Be 0.3470 0.9651 0.0812
Be 0.6530 0.0349 0.9188
Be 0.6530 0.4651 0.9188
Be 0.6990 0.7500 0.8857
Be 0.8010 0.2500 0.3857
Be 0.8470 0.5349 0.4188
Be 0.8470 0.9651 0.4188
Co 0.1454 0.6054 0.3600
Co 0.1454 0.8946 0.3600
Co 0.3546 0.1054 0.8600
Co 0.3546 0.3946 0.8600
Co 0.6454 0.6054 0.1400
Co 0.6454 0.8946 0.1400
Co 0.8546 0.1054 0.6400
Co 0.8546 0.3946 0.6400